Entry from the Alexandria database: a geometry-optimized K2NiH8C2O10 structure (PBE+U).

a = 6.2788 Å, b = 6.9231 Å, c = 12.3201 Å
α = 65.18°, β = 90.00°, γ = 90.00°
With the nearest neighbours (Å) after each atom.
Element x y z (fractional)
K 0.8426 0.2337 0.6822  6 O 2.72-2.94, 1 H 2.91
K 0.3426 0.7663 0.8178  6 O 2.72-2.94, 1 H 2.91
K 0.6574 0.2337 0.1822  6 O 2.72-2.94, 1 H 2.91
K 0.1574 0.7663 0.3178  6 O 2.72-2.94, 1 H 2.91
Ni 0.5000 0.0000 0.5000  6 O 2.08-2.13
Ni 0.0000 0.0000 0.0000  6 O 2.08-2.13
H 0.6722 0.2946 0.9208  1 O 1.01
H 0.1722 0.7054 0.5792  1 O 1.01
H 0.3278 0.7054 0.0792  1 O 1.01
H 0.8278 0.2946 0.4208  1 O 1.01
H 0.8871 0.4253 0.8901  1 O 1.00
H 0.3871 0.5747 0.6099  1 O 1.00
H 0.6619 0.8021 0.3702  1 O 1.01
H 0.1619 0.1979 0.1298  1 O 1.01
H 0.3381 0.1979 0.6298  1 O 1.01
H 0.6129 0.4253 0.3901  1 O 1.00
H 0.3011 0.2086 0.0136  1 O 1.02
H 0.8011 0.7914 0.4864  1 O 1.02
H 0.6989 0.7914 0.9864  1 O 1.02
H 0.1989 0.2086 0.5136  1 O 1.02
H 0.1129 0.5747 0.1099  1 O 1.00
H 0.8381 0.8021 0.8702  1 O 1.01
C 0.6592 0.7424 0.1840  3 O 1.30-1.31
C 0.8408 0.7424 0.6840  3 O 1.30-1.31
C 0.3408 0.2576 0.8160  3 O 1.30-1.31
C 0.1592 0.2576 0.3160  3 O 1.30-1.31
O 0.1758 0.7120 0.0519  2 H 1.00-1.01
O 0.5863 0.6690 0.1093  1 C 1.31
O 0.7209 0.8901 0.4113  2 H 1.01-1.02
O 0.2209 0.1099 0.0887  2 H 1.01-1.02
O 0.2791 0.1099 0.5887  2 H 1.01-1.02
O 0.7791 0.8901 0.9113  2 H 1.01-1.02
O 0.6758 0.2880 0.4481  2 H 1.00-1.01
O 0.0863 0.3310 0.3907  1 C 1.31
O 0.3242 0.7120 0.5519  2 H 1.00-1.01
O 0.8242 0.2880 0.9481  2 H 1.00-1.01
O 0.8177 0.8748 0.1553  1 C 1.30
O 0.3177 0.1252 0.3447  1 C 1.30
O 0.1823 0.1252 0.8447  1 C 1.30
O 0.6823 0.8748 0.6553  1 C 1.30
O 0.0710 0.3172 0.2114  1 C 1.30
O 0.4290 0.3172 0.7114  1 C 1.30
O 0.9137 0.6690 0.6093  1 C 1.31
O 0.5710 0.6828 0.2886  1 C 1.30
O 0.4137 0.3310 0.8907  1 C 1.31
O 0.9290 0.6828 0.7886  1 C 1.30

Summary:
Volume ... 486.09 Å³/cell
Crystal system ... monoclinic
Uncorrected energy ... -130.15 eV/f.u.